1.
Computed, not measured: a geometry-optimized Ba3SmInS6 structure at the PBE level of DFT.

The structure in POSCAR format:
```
Ba3SmInS6
1.0
6.1346 3.5418 4.6727
-6.1346 3.5418 4.6727
0.0000 -7.0837 4.6727
Ba Sm In S
6 2 2 12
Direct
0.1299 0.7500 0.3701
0.2500 0.6299 0.8701
0.3701 0.1299 0.7500
0.6299 0.8701 0.2500
0.7500 0.3701 0.1299
0.8701 0.2500 0.6299
0.2500 0.2500 0.2500
0.7500 0.7500 0.7500
0.0000 0.0000 0.0000
0.5000 0.5000 0.5000
0.0413 0.9107 0.7004
0.0893 0.2996 0.9587
0.2004 0.4107 0.5413
0.2996 0.9587 0.0893
0.4107 0.5413 0.2004
0.4587 0.7996 0.5893
0.5413 0.2004 0.4107
0.5893 0.4587 0.7996
0.7004 0.0413 0.9107
0.7996 0.5893 0.4587
0.9107 0.7004 0.0413
0.9587 0.0893 0.2996
```

## Properties
Total magnetic moment: 0.0 μB/cell
ρ: 4.74 g/cm³
DFT total energy: -5.235 eV/atom



2.
Computed, not measured: a geometry-optimized Ba2InSnS6 structure at the PBE level of DFT.

The structure in POSCAR format:
```
Ba2InSnS6
1.0
7.0647 0.0000 0.0000
0.0000 7.2221 0.0000
-6.9988 0.0000 10.2724
Ba In Sn S
4 2 2 12
Direct
0.2278 0.0789 0.2497
0.2278 0.4211 0.7497
0.7722 0.5789 0.2503
0.7722 0.9211 0.7503
0.0000 0.0000 0.5000
0.0000 0.5000 0.0000
0.5000 0.0000 0.0000
0.5000 0.5000 0.5000
0.1609 0.1927 0.9592
0.1609 0.3073 0.4592
0.2653 0.6977 0.9619
0.2653 0.8023 0.4619
0.3269 0.5180 0.2535
0.3269 0.9820 0.7535
0.6731 0.0180 0.2465
0.6731 0.4820 0.7465
0.7347 0.1977 0.5381
0.7347 0.3023 0.0381
0.8391 0.6927 0.5408
0.8391 0.8073 0.0408
```

## Properties
Total magnetic moment: 0.0 μB/cell
ρ: 4.44 g/cm³
DFT total energy: -4.508 eV/atom



3.
Computed, not measured: a geometry-optimized BaInSn2S6 structure at the PBE level of DFT.

The structure in POSCAR format:
```
BaInSn2S6
1.0
7.2325 -5.8610 0.0000
7.2325 5.8610 0.0000
-4.1610 0.0000 7.4048
Ba In Sn S
2 2 4 12
Direct
0.1754 0.8246 0.7500
0.8246 0.1754 0.2500
0.1886 0.8114 0.2500
0.8114 0.1886 0.7500
0.2402 0.3614 0.8381
0.3614 0.2402 0.3381
0.6386 0.7598 0.6619
0.7598 0.6386 0.1619
0.0458 0.1633 0.6555
0.1060 0.6198 0.9411
0.1633 0.0458 0.1555
0.2793 0.4264 0.5896
0.3802 0.8940 0.5589
0.4264 0.2793 0.0896
0.5736 0.7207 0.9104
0.6198 0.1060 0.4411
0.7207 0.5736 0.4104
0.8367 0.9542 0.8445
0.8940 0.3802 0.0589
0.9542 0.8367 0.3445
```

## Properties
Total magnetic moment: 0.0 μB/cell
ρ: 3.61 g/cm³
DFT total energy: -4.423 eV/atom



4.
Computed, not measured: a geometry-optimized Ba2InSnS5 structure at the PBE level of DFT.

The structure in POSCAR format:
```
Ba2InSnS5
1.0
2.1912 -9.1698 0.0000
2.1912 9.1698 0.0000
0.0000 0.0000 12.4142
Ba In Sn S
4 2 2 10
Direct
0.1183 0.8817 0.5000
0.1263 0.8737 0.1234
0.8737 0.1263 0.6234
0.8817 0.1183 0.0000
0.2213 0.7787 0.8406
0.7787 0.2213 0.3406
0.4374 0.5626 0.2717
0.5626 0.4374 0.7717
0.0475 0.9525 0.8649
0.2915 0.7085 0.4707
0.3107 0.6893 0.1929
0.3568 0.6432 0.8149
0.4975 0.5025 0.0954
0.5025 0.4975 0.5954
0.6432 0.3568 0.3149
0.6893 0.3107 0.6929
0.7085 0.2915 0.9707
0.9525 0.0475 0.3649
```

## Properties
Total magnetic moment: 0.0 μB/cell
ρ: 4.45 g/cm³
DFT total energy: -4.654 eV/atom



5.
Computed, not measured: a geometry-optimized BaIn2SnS6 structure at the PBE level of DFT.

The structure in POSCAR format:
```
BaIn2SnS6
1.0
7.1569 -5.9999 0.0000
7.1569 5.9999 0.0000
-3.6667 0.0000 7.1636
Ba In Sn S
2 4 2 12
Direct
0.1783 0.8217 0.7500
0.8217 0.1783 0.2500
0.2469 0.3636 0.8498
0.3636 0.2469 0.3498
0.6364 0.7531 0.6502
0.7531 0.6364 0.1502
0.1758 0.8242 0.2500
0.8242 0.1758 0.7500
0.0501 0.1628 0.6564
0.1121 0.6219 0.9566
0.1628 0.0501 0.1564
0.2672 0.4398 0.5883
0.3781 0.8879 0.5434
0.4398 0.2672 0.0883
0.5602 0.7328 0.9117
0.6219 0.1121 0.4566
0.7328 0.5602 0.4117
0.8372 0.9499 0.8436
0.8879 0.3781 0.0434
0.9499 0.8372 0.3436
```

## Properties
Total magnetic moment: 0.0 μB/cell
ρ: 3.66 g/cm³
DFT total energy: -4.368 eV/atom



6.
Computed, not measured: a geometry-optimized BaSr2InS structure at the PBE level of DFT.

The structure in POSCAR format:
```
BaSr2InS
1.0
5.7350 0.0000 0.0000
0.0000 5.7350 0.0000
0.0000 0.0000 6.1281
Ba Sr In S
1 2 1 1
Direct
0.0000 0.0000 0.0000
0.0000 0.5000 0.5000
0.5000 0.0000 0.5000
0.5000 0.5000 0.0000
0.0000 0.0000 0.5000
```

## Properties
Total magnetic moment: 0.0 μB/cell
ρ: 3.79 g/cm³
DFT total energy: -3.324 eV/atom



7.
Computed, not measured: a geometry-optimized Ba2TbInS5 structure at the PBE level of DFT.

The structure in POSCAR format:
```
Ba2TbInS5
1.0
2.0802 -9.1828 0.0000
2.0802 9.1828 0.0000
0.0000 0.0000 13.0306
Ba Tb In S
4 2 2 10
Direct
0.1160 0.8840 0.5000
0.1326 0.8674 0.1318
0.8674 0.1326 0.6318
0.8840 0.1160 0.0000
0.2123 0.7877 0.8380
0.7877 0.2123 0.3380
0.4475 0.5525 0.2597
0.5525 0.4475 0.7597
0.0517 0.9483 0.8688
0.2898 0.7102 0.4752
0.3144 0.6856 0.1932
0.3556 0.6444 0.8198
0.4960 0.5040 0.5917
0.5040 0.4960 0.0917
0.6444 0.3556 0.3198
0.6856 0.3144 0.6932
0.7102 0.2898 0.9752
0.9483 0.0517 0.3688
```

## Properties
Total magnetic moment: 0.0 μB/cell
ρ: 4.73 g/cm³
DFT total energy: -5.255 eV/atom



8.
Computed, not measured: a geometry-optimized Ba2InTeS5 structure at the PBE level of DFT.

The structure in POSCAR format:
```
Ba2InTeS5
1.0
2.1980 -9.0932 0.0000
2.1980 9.0932 0.0000
0.0000 0.0000 12.7326
Ba In Te S
4 2 2 10
Direct
0.1062 0.8938 0.5000
0.1365 0.8635 0.1188
0.8635 0.1365 0.6188
0.8938 0.1062 0.0000
0.4360 0.5640 0.2512
0.5640 0.4360 0.7512
0.2206 0.7794 0.8423
0.7794 0.2206 0.3423
0.0505 0.9495 0.8569
0.2821 0.7179 0.4484
0.3156 0.6844 0.1562
0.3537 0.6463 0.8119
0.4872 0.5128 0.5911
0.5128 0.4872 0.0911
0.6463 0.3537 0.3119
0.6844 0.3156 0.6562
0.7179 0.2821 0.9484
0.9495 0.0505 0.3569
```

## Properties
Total magnetic moment: 0.0 μB/cell
ρ: 4.42 g/cm³
DFT total energy: -4.454 eV/atom



9.
Computed, not measured: a geometry-optimized Ba2InTeS6 structure at the PBE level of DFT.

The structure in POSCAR format:
```
Ba2InTeS6
1.0
7.0965 0.0000 0.0000
0.0000 7.2763 0.0000
-7.0216 0.0000 10.2531
Ba In Te S
4 2 2 12
Direct
0.2287 0.0782 0.2479
0.2287 0.4218 0.7479
0.7713 0.5782 0.2521
0.7713 0.9218 0.7521
0.0000 0.0000 0.5000
0.0000 0.5000 0.0000
0.5000 0.0000 0.0000
0.5000 0.5000 0.5000
0.1592 0.1964 0.9563
0.1592 0.3036 0.4563
0.2708 0.6948 0.9651
0.2708 0.8052 0.4651
0.3289 0.5179 0.2529
0.3289 0.9821 0.7529
0.6711 0.0179 0.2471
0.6711 0.4821 0.7471
0.7292 0.1948 0.5349
0.7292 0.3052 0.0349
0.8408 0.6964 0.5437
0.8408 0.8036 0.0437
```

## Properties
Total magnetic moment: 0.0 μB/cell
ρ: 4.45 g/cm³
DFT total energy: -4.328 eV/atom



10.
Computed, not measured: a geometry-optimized Ba2TlInS4 structure at the PBE level of DFT.

The structure in POSCAR format:
```
Ba2TlInS4
1.0
-4.3525 4.4469 6.1820
4.3525 -4.4469 6.1820
4.3525 4.4469 -6.1820
Ba Tl In S
4 2 2 8
Direct
0.0000 0.0000 0.0000
0.5000 0.0000 0.0000
0.5000 0.0000 0.5000
0.5000 0.5000 0.5000
0.0000 0.0000 0.5000
0.0000 0.5000 0.0000
0.0000 0.5000 0.5000
0.5000 0.5000 0.0000
0.2080 0.7046 0.5034
0.2513 0.2610 0.5097
0.2513 0.7416 0.9903
0.2988 0.2954 0.0034
0.7012 0.7046 0.9966
0.7487 0.2584 0.0097
0.7487 0.7390 0.4903
0.7920 0.2954 0.4966
```

## Properties
Total magnetic moment: 0.0 μB/cell
ρ: 5.01 g/cm³
DFT total energy: -4.299 eV/atom



11.
Computed, not measured: a geometry-optimized BaTlInS3 structure at the PBE level of DFT.

The structure in POSCAR format:
```
BaTlInS3
1.0
8.4172 -2.6560 0.0000
8.4172 2.6560 0.0000
-2.5988 0.0000 8.0688
Ba Tl In S
2 2 2 6
Direct
0.1532 0.1532 0.1013
0.8468 0.8468 0.8987
0.1467 0.1467 0.5806
0.8533 0.8533 0.4194
0.4950 0.4950 0.2503
0.5050 0.5050 0.7497
0.0035 0.0035 0.7532
0.3439 0.3439 0.1264
0.3533 0.3533 0.6614
0.6467 0.6467 0.3386
0.6561 0.6561 0.8736
0.9965 0.9965 0.2468
```

## Properties
Total magnetic moment: 0.0 μB/cell
ρ: 5.09 g/cm³
DFT total energy: -4.125 eV/atom



12.
Computed, not measured: a geometry-optimized BaTmInS4 structure at the PBE level of DFT.

The structure in POSCAR format:
```
BaTmInS4
1.0
6.8464 0.0000 0.0000
0.0000 6.9551 0.0000
-2.5152 0.0000 8.1148
Ba Tm In S
2 2 2 8
Direct
0.2411 0.2500 0.0509
0.7589 0.7500 0.9491
0.2019 0.2500 0.5496
0.7981 0.7500 0.4504
0.2536 0.7500 0.3371
0.7464 0.2500 0.6629
0.0110 0.5081 0.7102
0.0110 0.9919 0.7102
0.4662 0.7500 0.1538
0.4922 0.2500 0.3983
0.5078 0.7500 0.6017
0.5338 0.2500 0.8462
0.9890 0.0081 0.2898
0.9890 0.4919 0.2898
```

## Properties
Total magnetic moment: 0.0 μB/cell
ρ: 4.72 g/cm³
DFT total energy: -5.130 eV/atom



13.
Computed, not measured: a geometry-optimized Ba2UInS5 structure at the PBE level of DFT.

The structure in POSCAR format:
```
Ba2UInS5
1.0
2.0955 -10.1695 0.0000
2.0955 10.1695 0.0000
0.0000 0.0000 11.7307
Ba U In S
4 2 2 10
Direct
0.1180 0.8820 0.5000
0.1177 0.8823 0.9197
0.8820 0.1180 0.0000
0.8823 0.1177 0.4197
0.2248 0.7752 0.2098
0.7752 0.2248 0.7098
0.4878 0.5122 0.7094
0.5122 0.4878 0.2094
0.0961 0.9039 0.2102
0.2823 0.7177 0.8548
0.2825 0.7175 0.5649
0.3543 0.6457 0.2098
0.5000 0.5000 0.4609
0.5000 0.5000 0.9609
0.6457 0.3543 0.7098
0.7175 0.2825 0.0649
0.7177 0.2823 0.3548
0.9039 0.0961 0.7102
```

## Properties
Total magnetic moment: 3.1 μB/cell
ρ: 5.23 g/cm³
DFT total energy: -5.761 eV/atom



14.
Computed, not measured: a geometry-optimized Ba2YInS5 structure at the PBE level of DFT.

The structure in POSCAR format:
```
Ba2YInS5
1.0
2.0776 -9.1695 0.0000
2.0776 9.1695 0.0000
0.0000 0.0000 13.0363
Ba Y In S
4 2 2 10
Direct
0.1161 0.8839 0.5000
0.1330 0.8670 0.1321
0.8670 0.1330 0.6321
0.8839 0.1161 0.0000
0.2122 0.7878 0.8385
0.7878 0.2122 0.3385
0.4475 0.5525 0.2596
0.5525 0.4475 0.7596
0.0522 0.9478 0.8689
0.2897 0.7103 0.4752
0.3140 0.6860 0.1941
0.3554 0.6446 0.8200
0.4959 0.5041 0.5918
0.5041 0.4959 0.0918
0.6446 0.3554 0.3200
0.6860 0.3140 0.6941
0.7103 0.2897 0.9752
0.9478 0.0522 0.3689
```

## Properties
Total magnetic moment: 0.0 μB/cell
ρ: 4.27 g/cm³
DFT total energy: -5.460 eV/atom



15.
Computed, not measured: a geometry-optimized Ba2YInS structure at the PBE level of DFT.

The structure in POSCAR format:
```
Ba2YInS
1.0
6.0870 0.0000 0.0000
0.0000 6.0870 0.0000
0.0000 0.0000 5.2402
Ba Y In S
2 1 1 1
Direct
0.0000 0.5000 0.0000
0.5000 0.0000 0.0000
0.0000 0.0000 0.5000
0.5000 0.5000 0.5000
0.0000 0.0000 0.0000
```

## Properties
Total magnetic moment: 0.0 μB/cell
ρ: 4.37 g/cm³
DFT total energy: -4.204 eV/atom



16.
Computed, not measured: a geometry-optimized BaZn2InS structure at the PBE level of DFT.

The structure in POSCAR format:
```
BaZn2InS
1.0
5.0546 0.0000 0.0000
0.0000 5.0546 0.0000
0.0000 0.0000 5.7971
Ba Zn In S
1 2 1 1
Direct
0.0000 0.0000 0.0000
0.0000 0.5000 0.5000
0.5000 0.0000 0.5000
0.5000 0.5000 0.5000
0.5000 0.5000 0.0000
```

## Properties
Total magnetic moment: 0.0 μB/cell
ρ: 4.65 g/cm³
DFT total energy: -2.538 eV/atom



17.
Computed, not measured: a geometry-optimized Ba2ZnInS5 structure at the PBE level of DFT.

The structure in POSCAR format:
```
Ba2ZnInS5
1.0
2.0600 -9.3577 0.0000
2.0600 9.3577 0.0000
0.0000 0.0000 12.2833
Ba Zn In S
4 2 2 10
Direct
0.1173 0.8827 0.5000
0.1234 0.8766 0.1153
0.8766 0.1234 0.6153
0.8827 0.1173 0.0000
0.4306 0.5694 0.2425
0.5694 0.4306 0.7425
0.2186 0.7814 0.8272
0.7814 0.2186 0.3272
0.0737 0.9263 0.8387
0.2866 0.7134 0.4703
0.3036 0.6964 0.1816
0.3530 0.6470 0.8104
0.4971 0.5029 0.0863
0.5029 0.4971 0.5863
0.6470 0.3530 0.3104
0.6964 0.3036 0.6816
0.7134 0.2866 0.9703
0.9263 0.0737 0.3387
```

## Properties
Total magnetic moment: 0.0 μB/cell
ρ: 4.31 g/cm³
DFT total energy: -4.328 eV/atom



18.
Computed, not measured: a geometry-optimized BaZrIn2S structure at the PBE level of DFT.

The structure in POSCAR format:
```
BaZrIn2S
1.0
6.2698 0.0000 0.0000
0.0000 6.2698 0.0000
0.0000 0.0000 5.5991
Ba Zr In S
1 1 2 1
Direct
0.0000 0.0000 0.0000
0.5000 0.5000 0.5000
0.0000 0.5000 0.0000
0.5000 0.0000 0.0000
0.0000 0.0000 0.5000
```

## Properties
Total magnetic moment: 2.8 μB/cell
ρ: 3.70 g/cm³
DFT total energy: -3.021 eV/atom